1.
{
  "formula": "TlRu3F",
  "functional": "PBE-GGA",
  "state": "relaxed",
  "raw_formation_energy_kj_per_mol_atoms": 95,
  "magnetic_moment_mub_per_cell": 0.0,
  "de_polymorph_ev_per_atom": 0.000,
  "final_energy_ev_per_fu": -27.2,
  "cell": [[4.279, 0.000, 0.000], [0.000, 4.279, 0.000], [0.000, 0.000, 4.279]],
  "species": ["Tl", "Ru", "Ru", "Ru", "F"],
  "fractional_positions": [[0.000, 0.000, 0.000], [0.000, 0.500, 0.500], [0.500, 0.000, 0.500], [0.500, 0.500, 0.000], [0.500, 0.500, 0.500]]
}

2.
{
  "formula": "ZrMnSi2",
  "functional": "PBE-GGA",
  "state": "relaxed",
  "raw_formation_energy_kj_per_mol_atoms": 12,
  "magnetic_moment_mub_per_cell": 8.1,
  "final_energy_ev_per_fu": -28.1,
  "cell": [[2.961, 0.000, 0.000], [-1.481, 2.564, 0.000], [0.000, 0.000, 25.408]],
  "species": ["Zr", "Zr", "Zr", "Mn", "Mn", "Mn", "Si", "Si", "Si", "Si", "Si", "Si"],
  "fractional_positions": [[0.000, 0.000, 0.000], [0.333, 0.667, 0.667], [0.667, 0.333, 0.333], [0.000, 0.000, 0.239], [0.333, 0.667, 0.905], [0.667, 0.333, 0.572], [0.000, 0.000, 0.500], [0.000, 0.000, 0.757], [0.333, 0.667, 0.167], [0.333, 0.667, 0.423], [0.667, 0.333, 0.090], [0.667, 0.333, 0.834]]
}

3.
{
  "formula": "La2CrPbS",
  "functional": "PBE-GGA",
  "state": "relaxed",
  "raw_formation_energy_kj_per_mol_atoms": 33,
  "magnetic_moment_mub_per_cell": 5.3,
  "final_energy_ev_per_fu": -25.6,
  "cell": [[6.104, 0.000, 0.000], [0.000, 6.104, 0.000], [0.000, 0.000, 5.029]],
  "species": ["La", "La", "Cr", "Pb", "S"],
  "fractional_positions": [[0.000, 0.500, 0.000], [0.500, 0.000, 0.000], [0.000, 0.000, 0.500], [0.000, 0.000, 0.000], [0.500, 0.500, 0.500]]
}

4.
{
  "formula": "CaPu3P4N12",
  "functional": "PBE-GGA",
  "state": "relaxed",
  "raw_formation_energy_kj_per_mol_atoms": -54,
  "magnetic_moment_mub_per_cell": 10.0,
  "final_energy_ev_per_fu": -177.8,
  "cell": [[5.398, 3.116, 2.878], [-5.398, 3.116, 2.878], [0.000, -6.233, 2.878]],
  "species": ["Ca", "Pu", "Pu", "Pu", "P", "P", "P", "P", "N", "N", "N", "N", "N", "N", "N", "N", "N", "N", "N", "N"],
  "fractional_positions": [[0.000, 0.000, 0.000], [0.000, 0.549, 0.451], [0.451, 0.000, 0.549], [0.549, 0.451, 0.000], [0.051, 0.500, 0.949], [0.500, 0.500, 0.500], [0.500, 0.949, 0.051], [0.949, 0.051, 0.500], [0.027, 0.634, 0.793], [0.097, 0.903, 0.500], [0.207, 0.366, 0.973], [0.354, 0.646, 0.500], [0.366, 0.973, 0.207], [0.500, 0.097, 0.903], [0.500, 0.354, 0.646], [0.634, 0.793, 0.027], [0.646, 0.500, 0.354], [0.793, 0.027, 0.634], [0.903, 0.500, 0.097], [0.973, 0.207, 0.366]]
}

5.
{
  "formula": "Li2CeAu",
  "functional": "PBE-GGA",
  "state": "relaxed",
  "e_form_mev_per_atom": -99,
  "magnetic_moment_mub_per_cell": 0.1,
  "final_energy_ev_per_fu": -13.4,
  "cell": [[2.965, 0.000, 0.000], [-1.483, 2.568, 0.000], [0.000, 0.000, 31.372]],
  "species": ["Li", "Li", "Li", "Li", "Li", "Li", "Ce", "Ce", "Ce", "Au", "Au", "Au"],
  "fractional_positions": [[0.000, 0.000, 0.099], [0.000, 0.000, 0.901], [0.333, 0.667, 0.567], [0.333, 0.667, 0.766], [0.667, 0.333, 0.234], [0.667, 0.333, 0.433], [0.000, 0.000, 0.000], [0.333, 0.667, 0.667], [0.667, 0.333, 0.333], [0.000, 0.000, 0.500], [0.333, 0.667, 0.167], [0.667, 0.333, 0.833]]
}

6.
{
  "formula": "PuZnGa4",
  "functional": "PBE-GGA",
  "state": "relaxed",
  "e_form_mev_per_atom": -159,
  "magnetic_moment_mub_per_cell": 5.7,
  "final_energy_ev_per_fu": -28.7,
  "cell": [[4.235, 0.000, 0.000], [0.000, 4.497, 0.000], [-2.132, 0.000, 6.057]],
  "species": ["Pu", "Zn", "Ga", "Ga", "Ga", "Ga"],
  "fractional_positions": [[0.000, 0.000, 0.000], [0.500, 0.500, 0.000], [0.165, 0.500, 0.330], [0.319, 0.000, 0.637], [0.681, 0.000, 0.363], [0.835, 0.500, 0.670]]
}